A relaxed structure of LiVSi2O6, computed with PBE+U.

Lattice parameters (Å, degrees): 7.0673 7.4035 7.4553 80.68 62.04 79.06
Closest atoms and distances in Å follow each position.
Fractional coordinates of all 30 atoms:
1 Li 0.0000 0.0000 0.0000  4 O 2.11-2.27
2 Li 0.1201 0.2583 0.2617  4 O 1.97-2.10
3 Li 0.8799 0.7417 0.7383  4 O 1.97-2.10
4 V 0.4546 0.7155 0.7482  4 O 1.92-2.09
5 V 0.5000 0.0000 0.0000  6 O 2.03-2.11
6 V 0.5454 0.2845 0.2518  4 O 1.92-2.09
7 Si 0.1832 0.6604 0.2496  4 O 1.61-1.69
8 Si 0.2538 0.3238 0.7941  4 O 1.60-1.69
9 Si 0.3026 0.8859 0.4733  4 O 1.61-1.68
10 Si 0.6974 0.1141 0.5267  4 O 1.61-1.68
11 Si 0.7462 0.6762 0.2059  4 O 1.60-1.69
12 Si 0.8168 0.3396 0.7504  4 O 1.61-1.69
13 O 0.0474 0.3192 0.7542  2 Si 1.62-1.63
14 O 0.1342 0.7748 0.4481  2 Si 1.66-1.69
15 O 0.2234 0.9099 0.7104  1 Si 1.61
16 O 0.2464 0.1687 0.9797  1 Si 1.64
17 O 0.2702 0.5267 0.8304  1 Si 1.60
18 O 0.2753 0.4468 0.2740  1 Si 1.61
19 O 0.3471 0.7787 0.0466  1 Si 1.65
20 O 0.3572 0.0652 0.3058  1 Si 1.64
21 O 0.4697 0.2611 0.5757  2 Si 1.68-1.69
22 O 0.5303 0.7389 0.4243  2 Si 1.68-1.69
23 O 0.6428 0.9348 0.6942  1 Si 1.64
24 O 0.6529 0.2213 0.9534  1 Si 1.65
25 O 0.7247 0.5532 0.7260  1 Si 1.61
26 O 0.7298 0.4733 0.1696  1 Si 1.60
27 O 0.7536 0.8313 0.0203  1 Si 1.64
28 O 0.7766 0.0901 0.2896  1 Si 1.61
29 O 0.8658 0.2252 0.5519  2 Si 1.66-1.69
30 O 0.9526 0.6808 0.2458  2 Si 1.62-1.63

Output
* relative energy among the computed polymorphs: 24 meV per atom
* DFT total energy: -7.517 eV per atom
* total moment: 2.00 μB per formula unit